Entry 1:
{"formula": "TeP2Pb", "functional": "GGA-PBE", "state": "optimized geometry", "cell": [[0.000, 3.548, 3.548], [3.548, 0.000, 3.548], [3.548, 3.548, 0.000]], "species": ["Te", "P", "P", "Pb"], "fractional_positions": [[0.000, 0.000, 0.000], [0.250, 0.250, 0.250], [0.750, 0.750, 0.750], [0.500, 0.500, 0.500]], "e_form_raw_ev_per_atom": 0.58, "space_group": "Fm-3m (225)", "density_g_cm3": 7.377, "relative_energy_ev_per_atom": 0.471}

Entry 2:
{"formula": "La2TlPt", "functional": "GGA-PBE", "state": "optimized geometry", "cell": [[4.219, 0.000, 0.000], [0.000, 4.219, 0.000], [0.000, 0.000, 7.401]], "species": ["La", "La", "Tl", "Pt"], "fractional_positions": [[0.000, 0.000, 0.000], [0.500, 0.500, 0.377], [0.500, 0.500, 0.813], [0.000, 0.000, 0.387]], "ef_ev_per_atom": -0.52, "space_group": "P4mm (99)", "density_g_cm3": 8.536, "relative_energy_ev_per_atom": 0.266}

Entry 3:
{"formula": "SrTaSe2Br", "functional": "GGA-PBE", "state": "optimized geometry", "cell": [[5.680, 0.000, 0.000], [0.000, 5.680, 0.000], [0.000, 0.000, 5.432]], "species": ["Sr", "Ta", "Se", "Se", "Br"], "fractional_positions": [[0.000, 0.000, 0.000], [0.500, 0.500, 0.500], [0.000, 0.500, 0.000], [0.500, 0.000, 0.000], [0.000, 0.000, 0.500]], "e_form_raw_ev_per_atom": 0.86, "space_group": "P4/mmm (123)", "density_g_cm3": 4.799, "relative_energy_ev_per_atom": 1.714}

Entry 4:
{"formula": "Te2PtS", "functional": "GGA-PBE", "state": "optimized geometry", "cell": [[2.069, 1.194, 7.710], [-2.069, 1.194, 7.710], [0.000, -2.389, 7.710]], "species": ["Te", "Te", "Pt", "S"], "fractional_positions": [[0.109, 0.109, 0.109], [0.891, 0.891, 0.891], [0.500, 0.500, 0.500], [0.000, 0.000, 0.000]], "e_form_raw_ev_per_atom": -0.09, "space_group": "R-3m (166)", "density_g_cm3": 7.006}